# Mn2IBrF GGA+U optimized geometry
data_Mn2IBrF
_space_group_name_H-M_alt 'P 4/m m m'
_space_group_IT_number 123
_space_group_name_Hall '-P 4 2'
_cell_length_a 4.577
_cell_length_b 4.577
_cell_length_c 6.336
_cell_angle_alpha 90.00
_cell_angle_beta 90.00
_cell_angle_gamma 90.00
loop_
_atom_site_label
_atom_site_type_symbol
_atom_site_fract_x
_atom_site_fract_y
_atom_site_fract_z
Mn1 Mn 0.000 0.500 0.000
I1 I 0.000 0.000 0.500
Br1 Br 0.500 0.500 0.500
F1 F 0.000 0.000 0.000
# - crystal system = tetragonal
# - D(E_F) (states/eV per atom) = 0.6673
# - uncorrected energy (eV per atom) = -4.17